Record 1
The following is a DFT calculation (GGA-PBE) of a geometry-optimized BeInReW structure.

## Properties
* distance to the lowest polymorph of the same formula: 434 meV/atom
* crystal system: cubic
* calculated volume: 242.3 Å³/cell

Unit cell a=6.2339 b=6.2339 c=6.2339 alpha=90.00 beta=90.00 gamma=90.00
Space group F-43m (No. 216)
Unique sites:
Be (0.0000, 0.0000, 0.0000) [4 per cell]
In (0.0000, 0.0000, 0.5000) [4 per cell]
Re (0.2500, 0.2500, 0.2500) [4 per cell]
W (0.2500, 0.2500, 0.7500) [4 per cell]

---

Record 2
The following is a DFT calculation (GGA-PBE) of a geometry-optimized ScAlNi structure.

## Properties
* crystal system: cubic
* calculated volume: 233.9 Å³/cell
* total DFT energy (no corrections): -4.902 eV per atom

Unit cell a=6.1612 b=6.1612 c=6.1612 alpha=90.00 beta=90.00 gamma=90.00
Space group F-43m (No. 216)
Unique sites:
Sc (0.0000, 0.0000, 0.0000) [4 per cell]
Al (0.2500, 0.2500, 0.7500) [4 per cell]
Ni (0.2500, 0.2500, 0.2500) [4 per cell]

---

Record 3
The following is a DFT calculation (GGA-PBE) of a geometry-optimized PmInNO structure.

## Properties
* distance to the lowest polymorph of the same formula: 0 meV/atom
* crystal system: tetragonal
* calculated volume: 62.3 Å³/cell

Unit cell a=3.5920 b=3.5920 c=4.8252 alpha=90.00 beta=90.00 gamma=90.00
Space group P4/mmm (No. 123)
Unique sites:
Pm (0.0000, 0.0000, 0.0000) [1 per cell]
In (0.5000, 0.5000, 0.5000) [1 per cell]
N (0.5000, 0.5000, 0.0000) [1 per cell]
O (0.0000, 0.0000, 0.5000) [1 per cell]

---

Record 4
The following is a DFT calculation (GGA-PBE) of a geometry-optimized RbOs structure.

## Properties
* distance to the lowest polymorph of the same formula: 1595 meV/atom
* crystal system: cubic
* calculated volume: 339.4 Å³/cell

Unit cell a=6.9752 b=6.9752 c=6.9752 alpha=90.00 beta=90.00 gamma=90.00
Space group Fm-3m (No. 225)
Unique sites:
Rb (0.0000, 0.0000, 0.0000) [4 per cell]
Os (0.0000, 0.0000, 0.5000) [4 per cell]